(1)
Computed, not measured: a PBEsol-optimized structure of CuOs2W at the meta-GGA SCAN level of DFT.

Results
The value obtained for the energy relative to the elements is 162 meV per atom. For the energy above the lowest structure with this stoichiometry, the calculation gives 0.000 eV/atom. The total energy comes out at -57.00 eV/atom. As for the space-group type: Fm-3m (225).

a = 4.291 Å, b = 4.291 Å, c = 4.291 Å
α = 60.00°, β = 60.00°, γ = 60.00°
Fractional coordinates of all 4 atoms:
Cu 0.000 0.000 0.000
Os 0.750 0.750 0.750
Os 0.250 0.250 0.250
W 0.500 0.500 0.500



(2)
Computed, not measured: a PBEsol-optimized structure of Y3CuOs at the meta-GGA SCAN level of DFT.

Results
The value obtained for the energy relative to the elements is 648 meV per atom. The total energy comes out at -33.47 eV/atom. As for the space-group type: Pm-3m (221).

a = 5.007 Å, b = 5.007 Å, c = 5.007 Å
α = 90.00°, β = 90.00°, γ = 90.00°
Fractional coordinates of all 5 atoms:
Y 0.000 0.500 0.000
Os 0.500 0.500 0.500
Cu 0.000 0.000 0.000
Y 0.500 0.000 0.000
Y 0.000 0.000 0.500



(3)
Computed, not measured: a PBEsol-optimized structure of Y2ZnCuOs at the meta-GGA SCAN level of DFT.

Results
The value obtained for the energy relative to the elements is 690 meV per atom. The total energy comes out at -30.57 eV/atom. As for the space-group type: P4/mmm (123).

a = 4.446 Å, b = 5.183 Å, c = 5.183 Å
α = 90.00°, β = 90.00°, γ = 90.00°
Fractional coordinates of all 5 atoms:
Y 0.000 0.500 0.000
Y 0.000 0.000 0.500
Cu 0.500 0.500 0.500
Zn 0.000 0.000 0.000
Os 0.500 0.000 0.000



What is the energy relative to the elements in the second record? 648 meV per atom



Which of these has the lowest energy relative to the elements? CuOs2W



What is the energy relative to the elements in the second record? 648 meV per atom